DFT (PBE with a Hubbard U) results for LiMnInF6 after structural relaxation.

The structure belongs to space group P4_2nm (No. 102); the cell edges are 4.915, 4.915 and 9.821 Å and the angles 90.00°, 90.00° and 90.00°. The asymmetric unit holds Li at (0.000, 0.000, 0.000), Mn at (0.000, 0.000, 0.669), In at (0.000, 0.000, 0.335), F at (0.194, 0.194, 0.169), F at (0.196, 0.196, 0.837) and F at (0.198, 0.198, 0.498).

Its total energy is -95.0 eV per cell.